1.
RbNbSe2O8 | GGA-PBE | optimized geometry

Output
Total magnetization: 0.000 μB per formula unit
Total DFT energy (no corrections): -72.62 eV for the cell shown
Formation energy from raw total energies: -14.95 eV/f.u.

The structure in CIF format:
```
data_RbNbSe2O8
_space_group_name_H-M_alt 'P 1'
_space_group_IT_number 1
_cell_length_a 5.602
_cell_length_b 5.602
_cell_length_c 8.457
_cell_angle_alpha 91.15
_cell_angle_beta 91.15
_cell_angle_gamma 59.92
loop_
_space_group_symop_operation_xyz
'x,y,z'
loop_
_atom_site_label
_atom_site_type_symbol
_atom_site_fract_x
_atom_site_fract_y
_atom_site_fract_z
_atom_site_occupancy
Rb1 Rb 0.000 0.000 0.000 1
Nb1 Nb 0.000 0.000 0.500 1
Se1 Se 0.357 0.357 0.302 1
Se2 Se 0.643 0.643 0.698 1
O1 O 0.191 0.191 0.458 1
O2 O 0.232 0.714 0.326 1
O3 O 0.286 0.768 0.674 1
O4 O 0.313 0.313 0.112 1
O5 O 0.687 0.687 0.888 1
O6 O 0.714 0.232 0.326 1
O7 O 0.768 0.286 0.674 1
O8 O 0.809 0.809 0.542 1
```

***

2.
Ta2CrAg | GGA-PBE | optimized geometry

Output
ΔE to the lowest computed polymorph: 0.59 eV/f.u.
Total magnetization: 0.830 μB per formula unit
Formation enthalpy at 0 K: 0.357 eV per atom
Total DFT energy (no corrections): -34.75 eV for the cell shown

The structure in CIF format:
```
data_Ta2CrAg
_space_group_name_H-M_alt 'P 1'
_space_group_IT_number 1
_cell_length_a 5.059
_cell_length_b 5.059
_cell_length_c 5.059
_cell_angle_alpha 139.15
_cell_angle_beta 127.51
_cell_angle_gamma 68.57
loop_
_space_group_symop_operation_xyz
'x,y,z'
loop_
_atom_site_label
_atom_site_type_symbol
_atom_site_fract_x
_atom_site_fract_y
_atom_site_fract_z
_atom_site_occupancy
Ta1 Ta 0.232 0.232 0.000 1
Ta2 Ta 0.768 0.768 0.000 1
Cr1 Cr 0.000 0.500 0.500 1
Ag1 Ag 0.500 0.000 0.500 1
```

***

3.
AcNdSiIr | GGA-PBE | optimized geometry

Output
Total magnetization: 0.000 μB per formula unit
Total DFT energy (no corrections): -24.60 eV for the cell shown
Formation energy from raw total energies: -1.44 eV/f.u.

The structure in CIF format:
```
data_AcNdSiIr
_space_group_name_H-M_alt 'P 1'
_space_group_IT_number 1
_cell_length_a 5.235
_cell_length_b 5.235
_cell_length_c 5.235
_cell_angle_alpha 60.00
_cell_angle_beta 60.00
_cell_angle_gamma 60.00
loop_
_space_group_symop_operation_xyz
'x,y,z'
loop_
_atom_site_label
_atom_site_type_symbol
_atom_site_fract_x
_atom_site_fract_y
_atom_site_fract_z
_atom_site_occupancy
Ac1 Ac 0.000 0.000 0.000 1
Nd1 Nd 0.500 0.500 0.500 1
Si1 Si 0.750 0.750 0.750 1
Ir1 Ir 0.250 0.250 0.250 1
```

***

4.
Nd2MgAl | GGA-PBE | optimized geometry

Output
ΔE to the lowest computed polymorph: 0.92 eV/f.u.
Total magnetization: 0.000 μB per formula unit
Formation enthalpy at 0 K: -0.027 eV per atom
Total DFT energy (no corrections): -14.98 eV for the cell shown

The structure in CIF format:
```
data_Nd2MgAl
_space_group_name_H-M_alt 'P 1'
_space_group_IT_number 1
_cell_length_a 10.375
_cell_length_b 10.375
_cell_length_c 10.375
_cell_angle_alpha 20.47
_cell_angle_beta 20.47
_cell_angle_gamma 20.47
loop_
_space_group_symop_operation_xyz
'x,y,z'
loop_
_atom_site_label
_atom_site_type_symbol
_atom_site_fract_x
_atom_site_fract_y
_atom_site_fract_z
_atom_site_occupancy
Nd1 Nd 0.242 0.242 0.242 1
Nd2 Nd 0.758 0.758 0.758 1
Mg1 Mg 0.000 0.000 0.000 1
Al1 Al 0.500 0.500 0.500 1
```

***

5.
Pr2YAl | GGA-PBE | optimized geometry

Output
ΔE to the lowest computed polymorph: 0.00 eV/f.u.
Total magnetization: 0.000 μB per formula unit
Formation enthalpy at 0 K: -0.173 eV per atom
Total DFT energy (no corrections): -40.91 eV for the cell shown

The structure in CIF format:
```
data_Pr2YAl
_space_group_name_H-M_alt 'P 1'
_space_group_IT_number 1
_cell_length_a 5.387
_cell_length_b 7.093
_cell_length_c 7.093
_cell_angle_alpha 59.88
_cell_angle_beta 90.00
_cell_angle_gamma 90.00
loop_
_space_group_symop_operation_xyz
'x,y,z'
loop_
_atom_site_label
_atom_site_type_symbol
_atom_site_fract_x
_atom_site_fract_y
_atom_site_fract_z
_atom_site_occupancy
Pr1 Pr 0.000 0.000 0.000 1
Pr2 Pr 0.000 0.465 0.999 1
Pr3 Pr 0.000 0.999 0.465 1
Pr4 Pr 0.500 0.644 0.644 1
Y1 Y 0.500 0.175 0.643 1
Y2 Y 0.500 0.643 0.175 1
Al1 Al 0.000 0.483 0.483 1
Al2 Al 0.500 0.156 0.156 1
```

***

6.
MgNbGe3 | GGA-PBE | optimized geometry

Output
ΔE to the lowest computed polymorph: 0.00 eV/f.u.
Total magnetization: 0.600 μB per formula unit
Formation enthalpy at 0 K: 0.351 eV per atom
Total DFT energy (no corrections): -23.76 eV for the cell shown

The structure in CIF format:
```
data_MgNbGe3
_space_group_name_H-M_alt 'P 1'
_space_group_IT_number 1
_cell_length_a 5.042
_cell_length_b 5.042
_cell_length_c 5.042
_cell_angle_alpha 90.00
_cell_angle_beta 90.00
_cell_angle_gamma 90.00
loop_
_space_group_symop_operation_xyz
'x,y,z'
loop_
_atom_site_label
_atom_site_type_symbol
_atom_site_fract_x
_atom_site_fract_y
_atom_site_fract_z
_atom_site_occupancy
Mg1 Mg 0.000 0.000 0.000 1
Nb1 Nb 0.500 0.500 0.500 1
Ge1 Ge 0.000 0.500 0.500 1
Ge2 Ge 0.500 0.000 0.500 1
Ge3 Ge 0.500 0.500 0.000 1
```

***

7.
La6SiS12 | GGA-PBE | optimized geometry

Output
Total magnetization: 0.008 μB per formula unit
Total DFT energy (no corrections): -116.46 eV for the cell shown
Formation energy from raw total energies: -31.94 eV/f.u.

The structure in CIF format:
```
data_La6SiS12
_space_group_name_H-M_alt 'P 1'
_space_group_IT_number 1
_cell_length_a 8.029
_cell_length_b 8.029
_cell_length_c 8.029
_cell_angle_alpha 98.78
_cell_angle_beta 98.78
_cell_angle_gamma 98.78
loop_
_space_group_symop_operation_xyz
'x,y,z'
loop_
_atom_site_label
_atom_site_type_symbol
_atom_site_fract_x
_atom_site_fract_y
_atom_site_fract_z
_atom_site_occupancy
La1 La 0.123 0.635 0.790 1
La2 La 0.210 0.877 0.365 1
La3 La 0.365 0.210 0.877 1
La4 La 0.635 0.790 0.123 1
La5 La 0.790 0.123 0.635 1
La6 La 0.877 0.365 0.210 1
Si1 Si 0.500 0.500 0.500 1
S1 S 0.054 0.322 0.915 1
S2 S 0.085 0.946 0.678 1
S3 S 0.208 0.526 0.443 1
S4 S 0.322 0.915 0.054 1
S5 S 0.443 0.208 0.526 1
S6 S 0.474 0.557 0.792 1
S7 S 0.526 0.443 0.208 1
S8 S 0.557 0.792 0.474 1
S9 S 0.678 0.085 0.946 1
S10 S 0.792 0.474 0.557 1
S11 S 0.915 0.054 0.322 1
S12 S 0.946 0.678 0.085 1
```

***

8.
La5As4Br | GGA-PBE | optimized geometry

Output
Total magnetization: 0.000 μB per formula unit
Total DFT energy (no corrections): -60.92 eV for the cell shown
Formation energy from raw total energies: -16.01 eV/f.u.

The structure in CIF format:
```
data_La5As4Br
_space_group_name_H-M_alt 'P 1'
_space_group_IT_number 1
_cell_length_a 7.571
_cell_length_b 7.571
_cell_length_c 7.571
_cell_angle_alpha 99.55
_cell_angle_beta 99.55
_cell_angle_gamma 131.93
loop_
_space_group_symop_operation_xyz
'x,y,z'
loop_
_atom_site_label
_atom_site_type_symbol
_atom_site_fract_x
_atom_site_fract_y
_atom_site_fract_z
_atom_site_occupancy
La1 La 0.000 0.000 0.000 1
La2 La 0.187 0.605 0.792 1
La3 La 0.395 0.187 0.583 1
La4 La 0.605 0.813 0.417 1
La5 La 0.813 0.395 0.208 1
As1 As 0.103 0.297 0.399 1
As2 As 0.297 0.897 0.194 1
As3 As 0.703 0.103 0.806 1
As4 As 0.897 0.703 0.601 1
Br1 Br 0.500 0.500 0.000 1
```

***

Q: The lowest total DFT energy (no corrections) belongs to which entry?
A: La6SiS12